No. 1
A plane-wave DFT calculation with GGA-PBEsol was carried out for a geometry-optimized TcAgHg2 structure.

a b c (Å): 2.8613 4.9153 5.8051
angles (deg): 115.05 104.27 90.00
Atoms (fractional coordinates):
1 Ag 0.7596 0.2596 0.5192
2 Hg 0.0030 0.0030 0.0059
3 Hg 0.2389 0.7389 0.4779
4 Tc 0.4985 0.4985 0.9970

## Properties
Its formation energy is 0.490 eV per atom. As for the crystal system: orthorhombic. For the total magnetization, the calculation gives 0.000 μB/atom.



No. 2
A plane-wave DFT calculation with GGA-PBEsol was carried out for a geometry-optimized ZrCrSe2 structure.

a b c (Å): 3.6139 3.6139 8.5406
angles (deg): 77.79 77.79 60.00
Each line ends with the local moment (μB).
Atoms (fractional coordinates):
1 Cr 0.0000 0.0000 0.0000  3.93
2 Se 0.9008 0.9008 0.2976  -0.02
3 Se 0.0992 0.0992 0.7024  -0.02
4 Zr 0.5000 0.5000 0.5000  0.13

## Properties
As for the crystal system: trigonal. For the total magnetization, the calculation gives 1.186 μB/atom. The total energy comes out at -7.231 eV/atom.



No. 3
A plane-wave DFT calculation with GGA-PBEsol was carried out for a geometry-optimized SrGe3P structure.

a b c (Å): 4.8672 4.8672 4.8672
angles (deg): 90.00 90.00 90.00
Atoms (fractional coordinates):
1 Sr 0.5000 0.5000 0.5000
2 Ge 0.0000 0.5000 0.0000
3 Ge 0.0000 0.0000 0.5000
4 Ge 0.5000 0.0000 0.0000
5 P 0.0000 0.0000 0.0000

## Properties
Its formation energy is 0.123 eV per atom. As for the crystal system: cubic. For the total magnetization, the calculation gives 0.000 μB/atom.



No. 4
A plane-wave DFT calculation with GGA-PBEsol was carried out for a geometry-optimized Tl3ZnRh structure.

a b c (Å): 5.0339 5.0339 5.0339
angles (deg): 90.00 90.00 90.00
Each line ends with the local moment (μB).
Atoms (fractional coordinates):
1 Tl 0.0000 0.5000 0.0000  0.00
2 Tl 0.0000 0.0000 0.5000  0.00
3 Tl 0.5000 0.0000 0.0000  0.00
4 Rh 0.5000 0.5000 0.5000  0.47
5 Zn 0.0000 0.0000 0.0000  0.00

## Properties
Its formation energy is 0.904 eV per atom. As for the crystal system: cubic. For the total magnetization, the calculation gives 0.094 μB/atom.